A plane-wave DFT calculation with PBE was carried out for a geometry-optimized K4SrTh3S8 structure.

Lattice parameters (Å, degrees): 8.394 8.854 8.394 118.31 120.00 90.00
Fractional positions:
1 S 0.755 0.289 0.511
2 S 0.245 0.711 0.489
3 K 0.500 0.000 0.000
4 S 0.245 0.711 0.967
5 S 0.722 0.711 0.967
6 K 0.000 0.000 0.500
7 Th 0.000 0.500 0.500
8 S 0.278 0.289 0.033
9 Sr 0.000 0.500 0.000
10 Th 0.500 0.500 0.000
11 S 0.736 0.708 0.472
12 K 0.500 0.000 0.500
13 S 0.755 0.289 0.033
14 S 0.264 0.292 0.528
15 K 0.000 0.000 0.000
16 Th 0.500 0.500 0.500

Properties
* raw formation energy: -1.736 eV per atom



A plane-wave DFT calculation with PBE was carried out for a geometry-optimized BeAlHg structure.

Lattice parameters (Å, degrees): 4.151 4.151 4.151 60.00 60.00 60.00
Fractional positions:
1 Hg 0.000 0.000 0.000
2 Al 0.500 0.500 0.500
3 Be 0.250 0.250 0.250

Properties
* offset from the most stable computed form: 0.22 eV/f.u.
* energy of formation: 5.65 kcal/mol of atoms



A plane-wave DFT calculation with PBE was carried out for a geometry-optimized Hg3TeBr5 structure.

Lattice parameters (Å, degrees): 7.811 7.808 11.891 76.56 76.61 79.63
Fractional positions:
1 Br 0.787 0.786 0.030
2 Te 0.873 0.873 0.344
3 Hg 0.640 0.639 0.845
4 Br 0.049 0.438 0.310
5 Hg 0.000 0.000 0.000
6 Te 0.127 0.127 0.656
7 Br 0.562 0.950 0.690
8 Br 0.527 0.527 0.326
9 Br 0.438 0.050 0.310
10 Hg 0.000 0.000 0.500
11 Br 0.683 0.317 0.000
12 Hg 0.360 0.361 0.155
13 Br 0.951 0.562 0.690
14 Br 0.317 0.683 0.000
15 Br 0.213 0.214 0.970
16 Br 0.473 0.473 0.674
17 Hg 0.672 0.671 0.521
18 Hg 0.328 0.329 0.479

Properties
* raw formation energy: -0.271 eV per atom



A plane-wave DFT calculation with PBE was carried out for a geometry-optimized Mo3PCl structure.

Lattice parameters (Å, degrees): 4.533 4.533 4.533 90.00 90.00 90.00
Fractional positions:
1 P 0.000 0.000 0.000
2 Cl 0.500 0.500 0.500
3 Mo 0.000 0.000 0.500
4 Mo 0.500 0.000 0.000
5 Mo 0.000 0.500 0.000

Properties
* raw formation energy: 1.058 eV per atom
* offset from the most stable computed form: 0.00 eV/f.u.



A plane-wave DFT calculation with PBE was carried out for a geometry-optimized Y3P2C structure.

Lattice parameters (Å, degrees): 5.542 7.605 6.770 106.26 114.16 90.00
Fractional positions:
1 Y 0.851 0.925 0.702
2 P 0.328 0.914 0.656
3 Y 0.498 0.250 0.000
4 Y 0.149 0.575 0.298
5 C 0.002 0.250 0.000
6 P 0.672 0.586 0.344
7 P 0.672 0.086 0.344
8 C 0.998 0.750 0.000
9 P 0.328 0.414 0.656
10 Y 0.149 0.075 0.298
11 Y 0.502 0.750 0.000
12 Y 0.851 0.425 0.702

Properties
* energy of formation: -22.85 kcal/mol of atoms



A plane-wave DFT calculation with PBE was carried out for a geometry-optimized Na2NdHgSb2 structure.

Lattice parameters (Å, degrees): 4.551 8.372 9.158 90.00 90.00 90.00
Fractional positions:
1 Nd 0.000 0.972 0.451
2 Nd 0.000 0.472 0.549
3 Sb 0.000 0.276 0.847
4 Sb 0.500 0.741 0.606
5 Sb 0.000 0.776 0.153
6 Na 0.000 0.876 0.827
7 Na 0.500 0.558 0.924
8 Na 0.000 0.376 0.173
9 Sb 0.500 0.241 0.394
10 Hg 0.500 0.623 0.298
11 Na 0.500 0.058 0.076
12 Hg 0.500 0.123 0.702

Properties
* raw formation energy: -0.534 eV per atom



A plane-wave DFT calculation with PBE was carried out for a geometry-optimized BeCuReAs2 structure.

Lattice parameters (Å, degrees): 4.334 4.251 4.334 90.00 90.00 90.00
Fractional positions:
1 As 0.000 0.000 0.500
2 As 0.500 0.000 0.000
3 Be 0.000 0.000 0.000
4 Cu 0.500 0.500 0.500
5 Re 0.000 0.500 0.000

Properties
* energy of formation: 22.90 kcal/mol of atoms



A plane-wave DFT calculation with PBE was carried out for a geometry-optimized KBaP4 structure.

Lattice parameters (Å, degrees): 5.766 5.766 5.766 60.00 60.00 60.00
Fractional positions:
1 P 0.357 0.928 0.357
2 P 0.928 0.357 0.357
3 Ba 0.750 0.750 0.750
4 P 0.357 0.357 0.357
5 K 0.000 0.000 0.000
6 P 0.357 0.357 0.928

Properties
* energy of formation: -3.98 kcal/mol of atoms



A plane-wave DFT calculation with PBE was carried out for a geometry-optimized Pm2CuSe structure.

Lattice parameters (Å, degrees): 3.653 3.653 7.054 90.00 90.00 90.00
Fractional positions:
1 Pm 0.000 0.000 0.247
2 Pm 0.000 0.000 0.753
3 Cu 0.500 0.500 0.000
4 Se 0.500 0.500 0.500

Properties
* raw formation energy: -0.804 eV per atom
* offset from the most stable computed form: 0.77 eV/f.u.



A plane-wave DFT calculation with PBE was carried out for a geometry-optimized AlMo2Se structure.

Lattice parameters (Å, degrees): 4.497 4.497 4.497 60.00 60.00 60.00
Fractional positions:
1 Mo 0.750 0.750 0.750
2 Al 0.500 0.500 0.500
3 Se 0.250 0.250 0.250
4 Mo 0.000 0.000 0.000

Properties
* raw formation energy: 0.238 eV per atom
* offset from the most stable computed form: 1.31 eV/f.u.



A plane-wave DFT calculation with PBE was carried out for a geometry-optimized Tl2RhC structure.

Lattice parameters (Å, degrees): 6.925 6.925 5.799 53.33 53.33 90.00
Fractional positions:
1 Tl 0.875 0.826 0.750
2 Tl 0.174 0.625 0.250
3 Tl 0.576 0.125 0.250
4 C 0.500 0.500 0.000
5 Rh 0.750 0.250 0.500
6 Tl 0.375 0.424 0.750
7 C 0.250 0.750 0.500
8 Rh 0.000 0.000 0.000

Properties
* offset from the most stable computed form: 0.00 eV/f.u.
* energy of formation: 30.27 kcal/mol of atoms



A plane-wave DFT calculation with PBE was carried out for a geometry-optimized TbNd4Cd2 structure.

Lattice parameters (Å, degrees): 5.622 5.622 9.411 72.62 72.62 60.00
Fractional positions:
1 Nd 0.264 0.264 0.208
2 Nd 0.130 0.130 0.611
3 Cd 0.384 0.384 0.847
4 Nd 0.870 0.870 0.389
5 Nd 0.736 0.736 0.792
6 Tb 0.500 0.500 0.500
7 Cd 0.616 0.616 0.153

Properties
* energy of formation: 2.32 kcal/mol of atoms



| no. | spin magnetization (Bohr magnetons per cell) |
| --- | --- |
| 1 | 0.0 |
| 2 | 0.0 |
| 3 | 1.9 |
| 4 | 0.0 |
| 5 | 0.0 |
| 6 | 0.0 |
| 7 | 1.3 |
| 8 | 0.0 |
| 9 | 0.0 |
| 10 | 0.0 |
| 11 | 0.0 |
| 12 | 0.0 |